The following is a PBE calculation of a relaxed P3Ru2N crystal, from Alexandria via LeMat-Bulk.

```
data_P3Ru2N
_chemical_formula_sum 'P6 Ru4 N2'
_cell_length_a 7.863
_cell_length_b 2.779
_cell_length_c 8.089
_cell_angle_alpha 90.00
_cell_angle_beta 104.60
_cell_angle_gamma 90.00
_symmetry_space_group_name_H-M 'C 1 m 1'
_symmetry_Int_Tables_number 8
loop_
_symmetry_equiv_pos_as_xyz
'x,y,z'
'x,-y,z'
'x+1/2,y+1/2,z'
'x+1/2,-y+1/2,z'
loop_
_atom_site_label
_atom_site_fract_x
_atom_site_fract_y
_atom_site_fract_z
P1 0.000 0.000 0.000
P2 0.149 0.000 0.793
P3 0.320 0.000 0.445
Ru1 0.119 0.500 0.564
Ru2 0.162 0.500 0.232
N1 0.357 0.000 0.924
```

Output
ΔE to the lowest computed polymorph = 315 meV/atom
Raw total energy = -7.21 eV per atom